Material: MoRh3
Method: DFT, PBE
State: optimized geometry

Summary:
Symmetry = R-3m
Fermi-level density of states = 6.1 states/eV per cell
Energy of formation from the pure elements = -31 meV per atom
E = -8.2522 eV per atom

Cell lengths 9.055, 9.055, 9.055 Å; angles 17.47, 17.47, 17.47 degrees
Each line ends with the local moment (μB).
Atoms (fractional coordinates):
Rh (0.500, 0.500, 0.500)  0.32
Rh (0.749, 0.749, 0.749)  0.04
Rh (0.251, 0.251, 0.251)  0.04
Mo (0.000, 0.000, 0.000)  -0.01